Record 1
TlInAu2: relaxed, PBE-GGA.

Cell lengths 4.1967, 4.1967, 10.4220 Å; angles 90.00, 90.00, 90.00 degrees
With the nearest neighbours (Å) after each atom.
Space group I-4m2 (No. 119)
One atom of each set of equivalent atoms:
Tl  0.0000  0.0000  0.0000  4 Au 2.97
In  0.0000  0.5000  0.2500  4 Au 2.97
Au  0.0000  0.0000  0.5000  4 Tl 2.97
Au  0.0000  0.5000  0.7500  4 In 2.97

Calculated values
**ΔE_f**: 0.0240 eV/atom
**Spin magnetization**: 0.00 μB per atom
**DOS(E_F)**: 2.4 states/eV/cell

***

Record 2
YTlInAu: relaxed, PBE-GGA.

Cell lengths 7.2633, 7.2633, 7.2633 Å; angles 90.00, 90.00, 90.00 degrees
With the nearest neighbours (Å) after each atom.
Space group F-43m (No. 216)
One atom of each set of equivalent atoms:
Y  0.0000  0.0000  0.0000  4 Tl 3.15, 4 Au 3.15
Tl  0.2500  0.2500  0.7500  4 In 3.15, 4 Y 3.15
In  0.0000  0.0000  0.5000  4 Tl 3.15, 4 Au 3.15
Au  0.2500  0.2500  0.2500  4 In 3.15, 4 Y 3.15

Calculated values
**ΔE_f**: -0.3992 eV/atom
**Spin magnetization**: 0.00 μB per atom
**DOS(E_F)**: 6.8 states/eV/cell

***

Record 3
Tm2InAu: relaxed, PBE-GGA.

Cell lengths 3.5629, 3.5629, 7.5910 Å; angles 90.00, 90.00, 90.00 degrees
With the nearest neighbours (Å) after each atom.
Space group P4/mmm (No. 123)
One atom of each set of equivalent atoms:
Tm  0.0000  0.0000  0.2307  4 Au 3.07, 4 In 3.24
In  0.5000  0.5000  0.5000  8 Tm 3.24, 4 In 3.56
Au  0.5000  0.5000  0.0000  8 Tm 3.07

Calculated values
**ΔE_f**: -0.6708 eV/atom
**Spin magnetization**: 0.00 μB per atom
**DOS(E_F)**: 2.3 states/eV/cell

***

Record 4
Tm4InAu5: relaxed, PBE-GGA.

Cell lengths 3.5527, 3.5527, 17.5649 Å; angles 90.00, 90.00, 90.00 degrees
With the nearest neighbours (Å) after each atom.
Space group P4/mmm (No. 123)
One atom of each set of equivalent atoms:
Tm  0.0000  0.0000  0.1019  8 Au 3.06-3.08
Tm  0.0000  0.0000  0.3060  8 Au 2.96-3.11
In  0.0000  0.0000  0.5000  8 Au 3.11, 2 Tm 3.41
Au  0.5000  0.5000  0.0000  8 Tm 3.08
Au  0.5000  0.5000  0.2016  8 Tm 3.06-3.11, 1 Au 3.41
Au  0.5000  0.5000  0.3956  4 Tm 2.96, 4 In 3.11

Calculated values
**ΔE_f**: -0.7846 eV/atom
**Spin magnetization**: 0.00 μB per atom
**DOS(E_F)**: 4.7 states/eV/cell

***

Record 5
TmIn3Au2: relaxed, PBE-GGA.

Cell lengths 4.3796, 8.5025, 7.3954 Å; angles 90.00, 90.00, 90.00 degrees
With the nearest neighbours (Å) after each atom.
Space group Pmc2_1 (No. 26)
One atom of each set of equivalent atoms:
Tm  0.0000  0.0745  0.0000  5 Au 3.03-3.14, 1 In 3.37
In  0.0000  0.3089  0.6174  4 Au 2.75-3.04
In  0.5000  0.1993  0.3331  4 Au 2.77-2.94
In  0.5000  0.4057  0.9372  5 Au 2.99-3.30, 2 In 3.33
Au  0.0000  0.3783  0.2147  6 In 2.75-3.04, 1 Tm 3.03
Au  0.5000  0.1106  0.7168  5 In 2.77-2.99, 2 Tm 3.05

Calculated values
**ΔE_f**: -0.4154 eV/atom
**Spin magnetization**: 0.00 μB per atom
**DOS(E_F)**: 5.5 states/eV/cell

***

Record 6
TmIn2Au: relaxed, PBE-GGA.

Cell lengths 4.7224, 4.7224, 16.4590 Å; angles 90.00, 90.00, 90.00 degrees
With the nearest neighbours (Å) after each atom.
Space group I4/mmm (No. 139)
One atom of each set of equivalent atoms:
Tm  0.0000  0.0000  0.1351  4 Au 3.03, 8 In 3.24-3.34
In  0.0000  0.0000  0.3579  4 Au 2.95
In  0.0000  0.5000  0.0000  4 Tm 3.24, 8 In 3.32-3.34
Au  0.0000  0.5000  0.2500  4 In 2.95, 4 Tm 3.03

Calculated values
**ΔE_f**: -0.5169 eV/atom
**Spin magnetization**: 0.00 μB per atom
**DOS(E_F)**: 5.4 states/eV/cell

***

Record 7
Tm7In2Au2: relaxed, PBE-GGA.

Cell lengths 8.1907, 11.0312, 7.0738 Å; angles 90.00, 90.00, 90.00 degrees
With the nearest neighbours (Å) after each atom.
Space group Cmmm (No. 65)
One atom of each set of equivalent atoms:
Tm  0.0000  0.0000  0.0000  2 Au 3.21
Tm  0.0000  0.5000  0.2505  2 Au 2.91, 2 In 3.19
Tm  0.2500  0.2500  0.2609  2 Au 2.79
In  0.1759  0.0000  0.5000  1 In 2.88, 2 Tm 3.19
Au  0.0000  0.2908  0.0000  6 Tm 2.79-2.91

Calculated values
**ΔE_f**: -0.3040 eV/atom
**Spin magnetization**: 0.00 μB per atom
**DOS(E_F)**: 20.7 states/eV/cell

***

Record 8
Tm5InAu4: relaxed, PBE-GGA.

Cell lengths 3.5406, 3.5406, 18.4330 Å; angles 90.00, 90.00, 90.00 degrees
With the nearest neighbours (Å) after each atom.
Space group P4/mmm (No. 123)
One atom of each set of equivalent atoms:
Tm  0.0000  0.0000  0.0000  8 Au 3.08
Tm  0.0000  0.0000  0.1939  8 Au 3.08-3.10
Tm  0.0000  0.0000  0.3863  4 Au 3.04, 4 In 3.27
In  0.5000  0.5000  0.5000  8 Tm 3.27, 4 In 3.54
Au  0.5000  0.5000  0.0969  8 Tm 3.08
Au  0.5000  0.5000  0.2931  8 Tm 3.04-3.10

Calculated values
**ΔE_f**: -0.8029 eV/atom
**Spin magnetization**: 0.00 μB per atom
**DOS(E_F)**: 5.2 states/eV/cell